Entry 1:
Below is a relaxed Pm6HC2N3 crystal, with properties calculated at the GGA-PBE level.

The calculated total energy comes out at -169.64 eV per cell. The value obtained for the density is 7.43 Mg/m³.

The structure belongs to space group C2/m (No. 12); the cell edges are 16.0304, 3.6498 and 7.3776 Å and the angles 90.00°, 104.03° and 90.00°. Symmetry generates all atoms from Pm at (0.0018, 0.0000, 0.2311), Pm at (0.1669, 0.5000, 0.0832), Pm at (0.1728, 0.5000, 0.5841), H at (0.0000, 0.5000, 0.5000), C at (0.1592, 0.0000, 0.8206), N at (0.0000, 0.5000, 0.0000) and N at (0.1661, 0.0000, 0.3316).

***

Entry 2:
Below is a relaxed SrHoTlZn crystal, with properties calculated at the GGA-PBE level.

As for the energy of formation: -0.25 eV per atom. The value obtained for the density is 7.69 Mg/m³.

The structure belongs to space group F-43m (No. 216); the cell edges are 7.6703, 7.6703 and 7.6703 Å and the angles 90.00°, 90.00° and 90.00°. Symmetry generates all atoms from Sr at (0.0000, 0.0000, 0.0000), Ho at (0.0000, 0.0000, 0.5000), Tl at (0.2500, 0.2500, 0.2500) and Zn at (0.2500, 0.2500, 0.7500).

***

Entry 3:
Below is a relaxed RbCu3Sb3 crystal, with properties calculated at the GGA-PBE level.

The value obtained for the density is 5.82 Mg/m³. For the formation energy (no corrections), the calculation gives 0.01 eV per atom.

The structure belongs to space group R-3 (No. 148, hexagonal axes); the cell edges are 9.5365, 9.5365 and 13.9414 Å and the angles 90.00°, 90.00° and 120.00°. Symmetry generates all atoms from Rb at (0.0000, 0.0000, 0.1625), Cu at (0.0340, 0.7930, 0.4537) and Sb at (0.0311, 0.7445, 0.6398).

***

Q: Which formula does entry 2 have?
A: SrHoTlZn